Record 1
# SrMgGaH2 GGA-PBE optimized geometry
data_SrMgGaH2
_chemical_formula_sum 'Sr1 Mg1 Ga1 H2'
_symmetry_space_group_name_H-M 'P 4/m m m'
_symmetry_Int_Tables_number 123
_symmetry_space_group_name_Hall '-P 4 2'
_cell_length_a 4.2953
_cell_length_b 4.2953
_cell_length_c 5.3779
_cell_angle_alpha 90.00
_cell_angle_beta 90.00
_cell_angle_gamma 90.00
loop_
_atom_site_label
_atom_site_fract_x
_atom_site_fract_y
_atom_site_fract_z
_atom_site_occupancy
Sr1 0.0000 0.0000 0.0000 1
Mg1 0.5000 0.5000 0.5000 1
Ga1 0.5000 0.5000 0.0000 1
H1 0.0000 0.5000 0.5000 1
# * final energy: -12.42 eV/cell
# * N(E_F): 2.61 states/eV/cell
# * calculated density: 3074 kg/m³

=====

Record 2
# MgTiGa2H GGA-PBE optimized geometry
data_MgTiGa2H
_chemical_formula_sum 'Mg1 Ti1 Ga2 H1'
_symmetry_space_group_name_H-M 'P 4/m m m'
_symmetry_Int_Tables_number 123
_symmetry_space_group_name_Hall '-P 4 2'
_cell_length_a 4.2340
_cell_length_b 4.2340
_cell_length_c 3.9412
_cell_angle_alpha 90.00
_cell_angle_beta 90.00
_cell_angle_gamma 90.00
loop_
_atom_site_label
_atom_site_fract_x
_atom_site_fract_y
_atom_site_fract_z
_atom_site_occupancy
Mg1 0.0000 0.0000 0.0000 1
Ti1 0.5000 0.5000 0.0000 1
Ga1 0.0000 0.5000 0.5000 1
H1 0.0000 0.0000 0.5000 1
# * energy relative to the lowest polymorph listed for this composition: 0 meV/atom
# * N(E_F): 1.48 states/eV/cell
# * calculated density: 4997 kg/m³

=====

Record 3
# MgTiGa2H GGA-PBE optimized geometry
data_MgTiGa2H
_chemical_formula_sum 'Mg1 Ti1 Ga2 H1'
_symmetry_space_group_name_H-M 'P 4/m m m'
_symmetry_Int_Tables_number 123
_symmetry_space_group_name_Hall '-P 4 2'
_cell_length_a 5.0699
_cell_length_b 5.0699
_cell_length_c 5.6490
_cell_angle_alpha 90.00
_cell_angle_beta 90.00
_cell_angle_gamma 90.00
loop_
_atom_site_label
_atom_site_fract_x
_atom_site_fract_y
_atom_site_fract_z
_atom_site_occupancy
Mg1 0.0000 0.0000 0.0000 1
Ti1 0.0000 0.0000 0.5000 1
Ga1 0.0000 0.5000 0.5000 1
H1 0.5000 0.5000 0.0000 1
# * energy relative to the lowest polymorph listed for this composition: 1114 meV/atom
# * N(E_F): 3.99 states/eV/cell
# * calculated density: 2432 kg/m³

=====

Question: Which formula does entry 3 have?
Answer: MgTiGa2H